[1]
Here is crystalline Ac4Pu3Ge5 at its relaxed geometry from Alexandria via LeMat-Bulk. Energies are from PBE-GGA.

Values from the calculation:
Calculated total energy (eV per atom): -7.15
N(E_F) (states/eV/f.u.): 36.81

```
Ac4Pu3Ge5
1.0
5.1593 0.0000 0.0000
2.5797 6.5671 -1.2317
2.5797 1.0154 10.8922
Ac Ge Pu
4 5 3
Cartesian
5.1593 0.9263 3.4974
5.1593 6.6563 6.1631
5.1593 5.7523 9.9962
5.1593 1.8303 -0.3357
7.7390 7.4184 8.3144
2.5797 0.1642 1.3461
2.5797 2.7725 1.8439
5.1593 3.7913 4.8302
7.7390 4.8101 7.8166
2.5797 3.7913 4.8302
5.1593 4.4768 2.0780
5.1593 3.1058 7.5825
```

***

[2]
Here is crystalline CuSi2Te at its relaxed geometry from Alexandria via LeMat-Bulk. Energies are from PBE-GGA.

Values from the calculation:
Calculated total energy (eV per atom): -3.93
N(E_F) (states/eV/f.u.): 1.52
Formation energy (no corrections) (meV/atom): 588

```
CuSi2Te
1.0
4.7007 0.0290 0.0000
-1.5765 4.4286 0.0000
0.0000 0.0000 3.5686
Si Cu Te
2 1 1
Cartesian
0.0000 0.0000 0.0000
1.5621 2.2288 0.0000
-0.7882 2.2143 1.7843
2.3504 0.0145 1.7843
```

***

[3]
Here is crystalline K2Bi4Pd5 at its relaxed geometry from Alexandria via LeMat-Bulk. Energies are from PBE-GGA.

Values from the calculation:
Calculated total energy (eV per atom): -4.24
N(E_F) (states/eV/f.u.): 5.14

```
K2Bi4Pd5
1.0
-1.2333 2.3995 -5.5815
-2.7172 -3.8079 -4.4794
-8.2171 3.4897 -0.1270
Bi Pd K
4 5 2
Cartesian
-3.2039 0.1503 -2.6703
-4.5588 -0.4101 -6.0546
-8.9636 1.9310 -7.5176
-7.6087 2.4914 -4.1333
-6.3921 1.6405 -6.4893
-5.7754 0.4408 -3.6986
-1.9752 -0.7042 -5.0305
-1.3586 -1.9039 -2.2397
-0.6166 1.1997 -2.7908
-3.1891 2.9888 -4.8960
-6.2612 2.9004 -0.8125
```

***

[4]
Here is crystalline SrAc3Cu at its relaxed geometry from Alexandria via LeMat-Bulk. Energies are from PBE-GGA.

Values from the calculation:
Calculated total energy (eV per atom): -3.53
N(E_F) (states/eV/f.u.): 10.37

```
SrAc3Cu
1.0
6.0219 0.0000 0.0000
0.0000 6.0219 0.0000
0.0000 0.0000 6.0219
Sr Ac Cu
1 3 1
Cartesian
3.0109 3.0109 3.0109
3.0109 0.0000 0.0000
0.0000 0.0000 3.0109
0.0000 3.0109 0.0000
0.0000 0.0000 0.0000
```

***

[5]
Here is crystalline Zn2InCl at its relaxed geometry from Alexandria via LeMat-Bulk. Energies are from PBE-GGA.

Values from the calculation:
Calculated total energy (eV per atom): -1.82
N(E_F) (states/eV/f.u.): 0.58
Formation energy (no corrections) (meV/atom): -39

```
Zn2InCl
1.0
5.5573 -0.0296 0.0000
-2.5775 4.9234 0.0000
0.0000 0.0000 3.4194
Zn Cl In
2 1 1
Cartesian
0.0000 0.0000 0.0000
1.4899 2.4469 0.0000
2.7786 -0.0148 1.7097
-1.2888 2.4617 1.7097
```

***

[6]
Here is crystalline Cu3Ni2Pd at its relaxed geometry from Alexandria via LeMat-Bulk. Energies are from PBE-GGA.

Values from the calculation:
Calculated total energy (eV per atom): -4.85
N(E_F) (states/eV/f.u.): 6.41

```
Cu3Ni2Pd
1.0
4.7544 0.0000 2.0037
1.9550 4.3339 2.0037
-0.1577 -0.1019 7.0168
Ni Cu Pd
4 6 2
Cartesian
0.0000 0.0000 0.0000
0.9775 2.1669 1.0019
3.3547 2.1669 2.0037
2.3772 0.0000 1.0019
4.8029 3.1024 5.1772
1.7487 1.1296 5.8470
4.1026 1.1296 6.8390
3.8350 0.9568 4.1852
2.7166 3.2752 6.8390
2.4491 3.1024 4.1852
1.4334 0.9259 3.2414
5.1183 3.3061 7.7828
```

***

[7]
Here is crystalline YHoPu2N4 at its relaxed geometry from Alexandria via LeMat-Bulk. Energies are from PBE-GGA.

Values from the calculation:
Calculated total energy (eV per atom): -10.56
N(E_F) (states/eV/f.u.): 14.17
Formation energy (no corrections) (meV/atom): -1435

```
YHoPu2N4
1.0
3.4720 0.0000 0.0000
0.0000 6.0002 0.0734
0.0000 -2.1248 5.6270
Pu N Y Ho
2 4 1 1
Cartesian
0.0000 1.9377 2.8502
1.7360 -1.0624 2.8135
0.0000 3.9836 1.4951
1.7360 2.8719 4.2347
0.0000 -0.1082 4.2052
1.7360 1.0036 1.4657
0.0000 0.0000 0.0000
1.7360 3.0001 0.0367
```

***

[8]
Here is crystalline Ca2InIr at its relaxed geometry from Alexandria via LeMat-Bulk. Energies are from PBE-GGA.

Values from the calculation:
Calculated total energy (eV per atom): -4.18
N(E_F) (states/eV/f.u.): 3.27

```
Ca2InIr
1.0
6.8721 0.1817 -0.0137
4.0894 5.5259 0.0137
-4.9522 -3.8688 2.7869
In Ir Ca
1 1 2
Cartesian
4.7430 2.4697 0.0000
2.3742 2.2894 1.4003
3.7299 -0.4013 1.3866
0.6430 0.3348 0.0000
```